Density functional theory data (PBE+U) for a geometry-optimized VPbO2F structure.

Cell: 4.322 4.322 4.412 Å, 90.00 90.00 90.00°
Atoms (fractional coordinates):
V 0.000 0.000 0.000
Pb 0.500 0.500 0.500
O 0.000 0.500 0.500
O 0.500 0.000 0.500
F 0.500 0.500 0.000

E in eV per atom: -5.192
D(E_F) in states/eV/atom: 0.6363
Space group: P4/mmm (123)
Volume in Å³/cell: 82